# PaMnZn2O8

A relaxed structure of PaMnZn2O8 (GGA+U, Alexandria).

abc: 5.8610 5.8610 5.8610
angles: 112.12 112.12 104.30
Last column: magnetic moment on the atom in μB.
Atoms (fractional coordinates):
Pa (0.0000, 0.0000, 0.0000)  0.04
Mn (0.2500, 0.7500, 0.5000)  3.87
Zn (0.7500, 0.2500, 0.5000)  -0.02
Zn (0.5000, 0.5000, 0.0000)  -0.07
O (0.3615, 0.0530, 0.3085)  -0.13
O (0.2941, 0.4959, 0.2018)  -0.43
O (0.2941, 0.0922, 0.7982)  -0.43
O (0.7446, 0.0530, 0.6915)  -0.13
O (0.9078, 0.7059, 0.2018)  -0.43
O (0.9470, 0.2554, 0.3085)  -0.13
O (0.9470, 0.6385, 0.6915)  -0.13
O (0.5041, 0.7059, 0.7982)  -0.43

Space-group type: I-4m2, No. 119
Energy in eV/atom: -6.341